The following is a DFT calculation (PBE-GGA) of TaCd2Pd after structural relaxation.

Symmetry = I-42d, No. 122
ΔH_f (0 K) = 0.5273 eV per atom

abc: 6.0697 6.0697 6.0697
angles: 101.85 101.85 126.12
Element x y z (fractional)
Ta  0.0000  0.0000  0.0000
Ta  0.7500  0.2500  0.5000
Cd  0.1424  0.1250  0.5174
Cd  0.3750  0.8576  0.9826
Cd  0.6076  0.6250  0.4826
Cd  0.8750  0.3924  0.0174
Pd  0.2500  0.7500  0.5000
Pd  0.5000  0.5000  0.0000

=====

The following is a DFT calculation (PBE-GGA) of PmCo4Ge4 after structural relaxation.

Symmetry = P4_2/nmc, No. 137
ΔH_f (0 K) = -0.3267 eV per atom

abc: 5.8165 5.8165 7.9842
angles: 90.00 90.00 90.00
Element x y z (fractional)
Pm  0.2500  0.7500  0.2500
Pm  0.7500  0.2500  0.7500
Co  0.0247  0.2500  0.1337
Co  0.2500  0.0247  0.6337
Co  0.2500  0.4753  0.6337
Co  0.4753  0.2500  0.1337
Co  0.5247  0.7500  0.8663
Co  0.7500  0.5247  0.3663
Co  0.7500  0.9753  0.3663
Co  0.9753  0.7500  0.8663
Ge  0.0355  0.2500  0.4280
Ge  0.2500  0.0355  0.9280
Ge  0.2500  0.4645  0.9280
Ge  0.4645  0.2500  0.4280
Ge  0.5355  0.7500  0.5720
Ge  0.7500  0.5355  0.0720
Ge  0.7500  0.9645  0.0720
Ge  0.9645  0.7500  0.5720

=====

The following is a DFT calculation (PBE-GGA) of InCu2W after structural relaxation.

Symmetry = P4/mmm, No. 123
ΔH_f (0 K) = 0.4071 eV per atom

abc: 4.0341 4.0341 3.7426
angles: 90.00 90.00 90.00
Element x y z (fractional)
In  0.0000  0.0000  0.0000
Cu  0.0000  0.5000  0.5000
Cu  0.5000  0.0000  0.5000
W  0.5000  0.5000  0.0000

=====

The following is a DFT calculation (PBE-GGA) of Cd2SbPbF after structural relaxation.

Symmetry = P4/mmm, No. 123
Raw formation energy = -0.315 eV per atom

abc: 5.0800 5.0800 4.8434
angles: 90.00 90.00 90.00
Element x y z (fractional)
Cd  0.0000  0.5000  0.0000
Cd  0.5000  0.0000  0.0000
Sb  0.0000  0.0000  0.5000
Pb  0.5000  0.5000  0.5000
F  0.0000  0.0000  0.0000

=====

The following is a DFT calculation (PBE-GGA) of Ta2AgRu after structural relaxation.

Symmetry = P4mm, No. 99
ΔH_f (0 K) = 0.0466 eV per atom

abc: 3.1868 3.1868 6.7811
angles: 90.00 90.00 90.00
Element x y z (fractional)
Ta  0.0000  0.0000  0.0000
Ta  0.5000  0.5000  0.2719
Ag  0.0000  0.0000  0.5335
Ru  0.5000  0.5000  0.8017

=====

The following is a DFT calculation (PBE-GGA) of AcCdH after structural relaxation.

Symmetry = P1, No. 1
Electronic total energy = -0.226 Ry/atom

abc: 4.1999 4.2298 9.7752
angles: 102.12 90.07 119.67
Element x y z (fractional)
Ac  0.0000  0.0000  0.0000
Ac  0.2251  0.4499  0.6771
Cd  0.4746  0.9465  0.4205
Cd  0.7531  0.5036  0.2570
H  0.3143  0.6280  0.9437
H  0.6191  0.2394  0.8545

=====

The following is a DFT calculation (PBE-GGA) of SmBe2Ir2 after structural relaxation.

Symmetry = I4/mmm, No. 139
ΔH_f (0 K) = -0.6397 eV per atom

abc: 5.3949 5.3949 5.3949
angles: 134.35 134.35 66.54
Element x y z (fractional)
Sm  0.0000  0.0000  0.0000
Be  0.3466  0.3466  0.0000
Be  0.6534  0.6534  0.0000
Ir  0.2500  0.7500  0.5000
Ir  0.7500  0.2500  0.5000

=====

The following is a DFT calculation (PBE-GGA) of KScIr after structural relaxation.

Symmetry = I4mm, No. 107
ΔH_f (0 K) = -0.1036 eV per atom

abc: 7.7458 7.7458 7.7458
angles: 155.09 155.09 35.51
Element x y z (fractional)
K  0.0000  0.0000  0.0000
Sc  0.7530  0.7530  0.0000
Ir  0.3333  0.3333  0.0000

=====

The calculation returns the following magnetic moment values, one per record and in order: 0.0; 0.0; 0.0; 0.0; 0.0; 0.0; 0.0; 0.0 μB/f.u..